# 1
! AcErZnCo | the Alexandria database | GGA-PBE | optimized geometry; values from VASP
! Theoretical density = 9.2 Mg/m³
! Fermi-level density of states = 0.713 states/eV/atom
! Volume = 23.4 A^3/atom
! Total moment = 0.001 μB/atom
! Energy of formation = -53.4 meV/atom
! Symmetry = F-43m
&SYSTEM
  ibrav = 0, nat = 4, ntyp = 4
/
ATOMIC_SPECIES
Er 167.26 Er.upf
Ac 227.00 Ac.upf
Zn 65.41 Zn.upf
Co 58.93 Co.upf
CELL_PARAMETERS angstrom
5.098 0.000 0.000
2.549 4.415 0.000
2.549 1.472 4.163
ATOMIC_POSITIONS angstrom
Er 7.648 4.415 3.122
Ac 2.549 1.472 1.041
Zn 0.000 0.000 0.000
Co 5.098 2.944 2.081



# 2
! AcEuCo | the Alexandria database | GGA-PBE | optimized geometry; values from VASP
! Theoretical density = 8.2 Mg/m³
! Fermi-level density of states = 3.165 states/eV/atom
! Volume = 29.5 A^3/atom
! Total moment = 2.328 μB/atom
! Energy of formation = 160.3 meV/atom
! Symmetry = F-43m
! Energy relative to the lowest polymorph listed for this composition = 77 meV/atom
&SYSTEM
  ibrav = 0, nat = 3, ntyp = 3
/
ATOMIC_SPECIES
Ac 227.00 Ac.upf
Co 58.93 Co.upf
Eu 151.96 Eu.upf
CELL_PARAMETERS angstrom
5.000 0.000 0.000
2.500 4.330 0.000
2.500 1.443 4.083
ATOMIC_POSITIONS angstrom
Ac 5.000 2.887 2.041
Co 2.500 1.443 1.021
Eu 0.000 0.000 0.000



# 3
! Ac2EuCo | the Alexandria database | GGA-PBE | optimized geometry; values from VASP
! Theoretical density = 8.1 Mg/m³
! Fermi-level density of states = 1.297 states/eV/atom
! Volume = 34.2 A^3/atom
! Total moment = 2.210 μB/atom
! Energy of formation = 110.6 meV/atom
! Symmetry = P4/mmm
! Energy relative to the lowest polymorph listed for this composition = 119 meV/atom
&SYSTEM
  ibrav = 0, nat = 4, ntyp = 3
/
ATOMIC_SPECIES
Eu 151.96 Eu.upf
Co 58.93 Co.upf
Ac 227.00 Ac.upf
CELL_PARAMETERS angstrom
-1.764 0.719 3.224
-1.842 -3.248 -0.284
7.147 -4.484 4.911
ATOMIC_POSITIONS angstrom
Eu 1.770 -3.507 3.925
Co -1.803 -1.265 1.470
Ac 1.294 -0.812 0.889
Ac 5.854 -3.672 4.022



# 4
! Ac2EuCo | the Alexandria database | GGA-PBE | optimized geometry; values from VASP
! Theoretical density = 7.4 Mg/m³
! Fermi-level density of states = 0.917 states/eV/atom
! Volume = 37.5 A^3/atom
! Total moment = 1.925 μB/atom
! Energy of formation = -8.8 meV/atom
! Symmetry = R-3m
! Energy relative to the lowest polymorph listed for this composition = 0 meV/atom
&SYSTEM
  ibrav = 0, nat = 4, ntyp = 3
/
ATOMIC_SPECIES
Eu 151.96 Eu.upf
Ac 227.00 Ac.upf
Co 58.93 Co.upf
CELL_PARAMETERS angstrom
-1.667 0.652 -3.751
-3.895 -1.221 -0.785
-5.267 8.727 1.554
ATOMIC_POSITIONS angstrom
Eu -5.414 4.079 -1.491
Ac -2.392 1.217 -1.028
Ac -8.436 6.942 -1.953
Co 0.000 0.000 0.000



# 5
! AcEuCo | the Alexandria database | GGA-PBE | optimized geometry; values from VASP
! Theoretical density = 8.1 Mg/m³
! Fermi-level density of states = 3.014 states/eV/atom
! Volume = 29.9 A^3/atom
! Total moment = 2.211 μB/atom
! Energy of formation = 134.8 meV/atom
! Symmetry = I4mm
! Energy relative to the lowest polymorph listed for this composition = 52 meV/atom
&SYSTEM
  ibrav = 0, nat = 3, ntyp = 3
/
ATOMIC_SPECIES
Eu 151.96 Eu.upf
Co 58.93 Co.upf
Ac 227.00 Ac.upf
CELL_PARAMETERS angstrom
3.639 0.000 0.000
0.000 3.639 0.000
-1.819 -1.819 6.782
ATOMIC_POSITIONS angstrom
Eu 0.000 0.000 0.535
Co 1.819 1.819 2.300
Ac 0.000 0.000 3.947



# 6
! AcEuCo | the Alexandria database | GGA-PBE | optimized geometry; values from VASP
! Theoretical density = 7.5 Mg/m³
! Fermi-level density of states = 3.552 states/eV/atom
! Volume = 32.4 A^3/atom
! Total moment = 2.338 μB/atom
! Energy of formation = 82.9 meV/atom
! Symmetry = P3m1
! Energy relative to the lowest polymorph listed for this composition = 0 meV/atom
&SYSTEM
  ibrav = 0, nat = 3, ntyp = 3
/
ATOMIC_SPECIES
Eu 151.96 Eu.upf
Co 58.93 Co.upf
Ac 227.00 Ac.upf
CELL_PARAMETERS angstrom
4.120 0.000 0.000
-2.060 3.568 0.000
0.000 0.000 6.620
ATOMIC_POSITIONS angstrom
Eu 0.000 0.000 0.641
Co 2.060 1.189 2.240
Ac 0.000 2.379 3.739



The highest energy of formation belongs to which entry? number 2